First-principles (PBE-GGA) data for YH5Ru after structural relaxation, as listed in the Alexandria database.

Computed properties:
Total magnetization (Bohr magnetons per cell): 0.0
Crystal system: orthorhombic
Electronic total energy (eV per atom): -5.000
Symmetry: Immm (71)
N(E_F) (states/eV/atom): 0.151

Cell: 3.5724 4.8995 6.7692 Å, 90.00 90.00 90.00°
With the nearest neighbours (Å) after each atom.
Sites, in units of the cell vectors:
Y: 0.0000 0.0000 0.0000  14 H 2.42-2.58
Y: 0.5000 0.5000 0.5000  14 H 2.42-2.58
H: 0.0000 0.2578 0.3331  1 Ru 1.69
H: 0.0000 0.2578 0.6669  1 Ru 1.69
H: 0.0000 0.5000 0.0000  2 Ru 1.79
H: 0.0000 0.7422 0.3331  1 Ru 1.69
H: 0.0000 0.7422 0.6669  1 Ru 1.69
H: 0.5000 0.0000 0.5000  2 Ru 1.79
H: 0.5000 0.2422 0.1669  1 Ru 1.69
H: 0.5000 0.2422 0.8331  1 Ru 1.69
H: 0.5000 0.7578 0.1669  1 Ru 1.69
H: 0.5000 0.7578 0.8331  1 Ru 1.69
Ru: 0.0000 0.0000 0.5000  6 H 1.69-1.79
Ru: 0.5000 0.5000 0.0000  6 H 1.69-1.79